(1)
This record from Alexandria via LeMat-Bulk describes a geometry-optimized NaLaY2Fe structure. The functional is GGA-PBE.

Geometry as extended XYZ:
```
5
Lattice="5.408 0.000 0.000 0.000 5.408 0.000 0.000 0.000 5.236" Properties=species:S:1:pos:R:3 pbc="T T T"
Y 0.000 2.704 0.000
Y 2.704 0.000 0.000
Na 2.704 2.704 2.618
Fe 0.000 0.000 0.000
La 0.000 0.000 2.618
```

Values from the calculation:
SG: No. 123

=====

(2)
This record from Alexandria via LeMat-Bulk describes a geometry-optimized NaLa2YFe structure. The functional is GGA-PBE.

Geometry as extended XYZ:
```
5
Lattice="-2.835 2.331 3.878 0.214 -4.502 2.863 4.692 1.739 2.385" Properties=species:S:1:pos:R:3 pbc="T T T"
Y 2.346 0.870 1.193
Na 1.035 -0.216 4.563
Fe 0.000 0.000 0.000
La 0.107 -2.251 1.431
La -1.418 1.166 1.939
```

Values from the calculation:
SG: No. 123

=====

(3)
This record from Alexandria via LeMat-Bulk describes a geometry-optimized LaNbFe3 structure. The functional is GGA-PBE.

Geometry as extended XYZ:
```
5
Lattice="-3.798 -2.526 -1.079 1.710 -0.735 -4.302 2.150 -3.879 1.517" Properties=species:S:1:pos:R:3 pbc="T T T"
Nb 0.000 0.000 0.000
Fe 0.855 -0.367 -2.151
Fe 1.075 -1.940 0.759
Fe -1.899 -1.263 -0.539
La 0.031 -3.570 -1.932
```

Values from the calculation:
relative energy among the computed polymorphs: 0.000 eV per atom
SG: No. 221

=====

(4)
This record from Alexandria via LeMat-Bulk describes a geometry-optimized La2NbFe2 structure. The functional is GGA-PBE.

Geometry as extended XYZ:
```
10
Lattice="6.554 0.000 0.000 0.000 6.554 0.000 0.000 0.000 4.898" Properties=species:S:1:pos:R:3 pbc="T T T"
Nb 0.000 0.000 0.000
Nb 3.277 3.277 0.000
Fe 2.494 5.771 0.000
Fe 5.771 4.060 0.000
Fe 4.060 0.783 0.000
Fe 0.783 2.494 0.000
La 1.189 4.466 2.449
La 4.466 5.365 2.449
La 5.365 2.088 2.449
La 2.088 1.189 2.449
```

Values from the calculation:
SG: No. 127

=====

Number 1: DFT formation energy 0.63 eV/f.u.. Number 2: DFT formation energy 0.51 eV/f.u.. Number 3: DFT formation energy 3.88 eV/f.u.. Number 4: DFT formation energy 1.48 eV/f.u..